Entry from the Alexandria database: an optimized crystal structure of RbSc2Nb (PBE).

Computed properties:
- Offset from the most stable computed form: 0 meV/atom
- Energy of formation: 0.51 eV per atom
- Magnetization: 0.0 μB/f.u.
- ρ: 4.13 g/cm³
- Symmetry: No. 166

a = 11.7969 Å, b = 11.7969 Å, c = 11.7969 Å
α = 15.94°, β = 15.94°, γ = 15.94°
Fractional positions:
Rb: 0.0000 0.0000 0.0000
Nb: 0.5000 0.5000 0.5000
Sc: 0.1004 0.1004 0.1004
Sc: 0.8996 0.8996 0.8996